A plane-wave DFT calculation with PBE was carried out for a relaxed structure of RbTcSn3.

```
data_RbTcSn3
_cell_length_a 5.864
_cell_length_b 5.864
_cell_length_c 5.864
_cell_angle_alpha 90.00
_cell_angle_beta 90.00
_cell_angle_gamma 90.00
_space_group_name_H-M_alt 'P 1'
_space_group_IT_number 1
_space_group_name_Hall 'P 1'
loop_
_atom_site_label
_atom_site_type_symbol
_atom_site_fract_x
_atom_site_fract_y
_atom_site_fract_z
Rb1 Rb 0.000 0.000 0.000
Tc1 Tc 0.500 0.500 0.500
Sn1 Sn 0.500 0.000 0.000
Sn2 Sn 0.000 0.000 0.500
Sn3 Sn 0.000 0.500 0.000
```

Computed properties:
- Formation energy from the elements: 2.102 eV/atom
- Total energy: -12.83 eV/cell
- Space-group type: Pm-3m
- ΔE to the lowest computed polymorph: 1993 meV/atom

A plane-wave DFT calculation with PBE was carried out for a relaxed structure of Li2S3.

```
data_Li2S3
_cell_length_a 4.439
_cell_length_b 5.833
_cell_length_c 9.021
_cell_angle_alpha 84.63
_cell_angle_beta 75.76
_cell_angle_gamma 67.64
_space_group_name_H-M_alt 'P 1'
_space_group_IT_number 1
_space_group_name_Hall 'P 1'
loop_
_atom_site_label
_atom_site_type_symbol
_atom_site_fract_x
_atom_site_fract_y
_atom_site_fract_z
S1 S 0.613 0.750 0.388
S2 S 0.251 0.250 0.112
S3 S 0.147 0.000 0.000
S4 S 0.751 0.250 0.612
Li1 Li 0.213 0.177 0.386
Li2 Li 0.640 0.323 0.886
S5 S 0.397 0.500 0.500
S6 S 0.613 0.750 0.888
Li3 Li 0.849 0.677 0.114
Li4 Li 0.776 0.823 0.614
```

Computed properties:
- Total energy: -39.54 eV/cell
- Space-group type: Fdd2
- E_form (uncorrected): -0.71 eV/atom

A plane-wave DFT calculation with PBE was carried out for a relaxed structure of CsNp2Se4.

```
data_CsNp2Se4
_cell_length_a 4.225
_cell_length_b 7.177
_cell_length_c 8.794
_cell_angle_alpha 89.77
_cell_angle_beta 90.00
_cell_angle_gamma 90.00
_space_group_name_H-M_alt 'P 1'
_space_group_IT_number 1
_space_group_name_Hall 'P 1'
loop_
_atom_site_label
_atom_site_type_symbol
_atom_site_fract_x
_atom_site_fract_y
_atom_site_fract_z
Se1 Se 0.500 0.837 0.823
Se2 Se 0.000 0.665 0.174
Cs1 Cs 0.000 0.000 0.500
Se3 Se 0.500 0.163 0.177
Np1 Np 0.000 0.000 0.000
Np2 Np 0.500 0.500 0.000
Se4 Se 0.000 0.335 0.826
```

Computed properties:
- Total energy: -49.20 eV/cell
- Space-group type: P2/m
- E_form (uncorrected): -1.22 eV/atom
- ΔE to the lowest computed polymorph: 0 meV/atom

A plane-wave DFT calculation with PBE was carried out for a relaxed structure of ZrTc2Br.

```
data_ZrTc2Br
_cell_length_a 5.420
_cell_length_b 5.420
_cell_length_c 4.537
_cell_angle_alpha 87.34
_cell_angle_beta 87.34
_cell_angle_gamma 34.00
_space_group_name_H-M_alt 'P 1'
_space_group_IT_number 1
_space_group_name_Hall 'P 1'
loop_
_atom_site_label
_atom_site_type_symbol
_atom_site_fract_x
_atom_site_fract_y
_atom_site_fract_z
Br1 Br 0.250 0.250 0.250
Tc1 Tc 0.469 0.469 0.553
Zr1 Zr 0.750 0.750 0.750
Tc2 Tc 0.031 0.031 0.947
```

Computed properties:
- Total energy: -29.76 eV/cell
- Space-group type: C2/m
- E_form (uncorrected): 0.30 eV/atom
- ΔE to the lowest computed polymorph: 331 meV/atom

A plane-wave DFT calculation with PBE was carried out for a relaxed structure of Hg2CSe2.

```
data_Hg2CSe2
_cell_length_a 3.656
_cell_length_b 3.656
_cell_length_c 9.215
_cell_angle_alpha 78.56
_cell_angle_beta 78.56
_cell_angle_gamma 90.00
_space_group_name_H-M_alt 'P 1'
_space_group_IT_number 1
_space_group_name_Hall 'P 1'
loop_
_atom_site_label
_atom_site_type_symbol
_atom_site_fract_x
_atom_site_fract_y
_atom_site_fract_z
Se1 Se 0.750 0.250 0.500
Se2 Se 0.250 0.750 0.500
Hg1 Hg 0.580 0.580 0.840
Hg2 Hg 0.420 0.420 0.160
C1 C 0.000 0.000 0.000
```

Computed properties:
- Total energy: -9.96 eV/cell
- Space-group type: I4/mmm
- E_form (uncorrected): 1.37 eV/atom
- ΔE to the lowest computed polymorph: 417 meV/atom

A plane-wave DFT calculation with PBE was carried out for a relaxed structure of YMn2Co.

```
data_YMn2Co
_cell_length_a 5.312
_cell_length_b 5.312
_cell_length_c 5.312
_cell_angle_alpha 142.92
_cell_angle_beta 130.95
_cell_angle_gamma 63.05
_space_group_name_H-M_alt 'P 1'
_space_group_IT_number 1
_space_group_name_Hall 'P 1'
loop_
_atom_site_label
_atom_site_type_symbol
_atom_site_fract_x
_atom_site_fract_y
_atom_site_fract_z
Co1 Co 0.229 0.729 0.500
Mn1 Mn 0.040 0.040 0.000
Y1 Y 0.477 0.477 0.000
Mn2 Mn 0.753 0.253 0.500
```

Computed properties:
- Formation energy from the elements: 0.260 eV/atom
- Total energy: -30.87 eV/cell
- Space-group type: Imm2
- ΔE to the lowest computed polymorph: 159 meV/atom